Record 1
Crystalline LiNpBrCl4 at its relaxed geometry, computed with PBE.

The structure in POSCAR format:
```
LiNpBrCl4
1.0
5.784 -4.403 0.000
5.784 4.403 0.000
-5.650 0.000 9.790
Li Np Br Cl
2 2 2 8
direct
0.187 0.187 0.326
0.813 0.813 0.674
0.457 0.457 0.790
0.543 0.543 0.210
0.316 0.316 0.938
0.684 0.684 0.062
0.168 0.754 0.798
0.235 0.235 0.560
0.246 0.832 0.202
0.388 0.388 0.311
0.612 0.612 0.689
0.754 0.168 0.798
0.765 0.765 0.440
0.832 0.246 0.202
```

Output
The value obtained for the density is 3.101 Mg/m³. As for the space-group type: C2/m (12). Its total magnetization is 6.000 μB per cell. For the total energy, the calculation gives -5.01 eV/atom. The formation energy from raw total energies comes out at -11.18 eV/f.u.



Record 2
Crystalline Re2PbF at its relaxed geometry, computed with PBE.

The structure in POSCAR format:
```
Re2PbF
1.0
-1.778 1.778 12.237
1.778 -1.778 12.237
1.778 1.778 -12.237
Re Pb F
4 2 2
direct
0.125 0.125 0.500
0.375 0.875 0.000
0.625 0.625 0.500
0.875 0.375 0.000
0.000 0.000 0.000
0.750 0.250 0.500
0.250 0.750 0.500
0.500 0.500 0.000
```

Output
The value obtained for the density is 12.850 Mg/m³. As for the offset from the most stable computed form: 0 meV per atom. As for the space-group type: I-42d (122). Its total magnetization is 0.000 μB per cell. For the total energy, the calculation gives -7.26 eV/atom. The formation energy from raw total energies comes out at 1.43 eV/f.u.



Record 3
Crystalline CeGdTmZn at its relaxed geometry, computed with PBE.

The structure in POSCAR format:
```
CeGdTmZn
1.0
0.000 3.762 3.762
3.762 0.000 3.762
3.762 3.762 0.000
Ce Gd Tm Zn
1 1 1 1
direct
0.000 0.000 0.000
0.500 0.500 0.500
0.250 0.250 0.250
0.750 0.750 0.750
```

Output
The value obtained for the density is 8.290 Mg/m³. As for the space-group type: F-43m (216). Its total magnetization is 8.759 μB per cell. For the total energy, the calculation gives -6.40 eV/atom. As for the calculated formation energy: 0.04 eV per atom.



Record 4
Crystalline MnIn2Sn2 at its relaxed geometry, computed with PBE.

The structure in POSCAR format:
```
MnIn2Sn2
1.0
7.118 0.000 0.000
0.000 7.118 0.000
0.000 0.000 5.138
Mn In Sn
2 4 4
direct
0.000 0.000 0.000
0.500 0.500 0.000
0.171 0.329 0.500
0.329 0.829 0.500
0.671 0.171 0.500
0.829 0.671 0.500
0.148 0.648 0.000
0.352 0.148 0.000
0.648 0.852 0.000
0.852 0.352 0.000
```

Output
The value obtained for the density is 6.660 Mg/m³. As for the offset from the most stable computed form: 0 meV per atom. As for the space-group type: P4/mbm (127). Its total magnetization is 6.728 μB per cell. For the total energy, the calculation gives -4.31 eV/atom. As for the calculated formation energy: 0.22 eV per atom.



Record 5
Crystalline CsHf3Ru at its relaxed geometry, computed with PBE.

The structure in POSCAR format:
```
CsHf3Ru
1.0
5.166 0.000 0.000
0.000 5.166 0.000
0.000 0.000 5.166
Cs Hf Ru
1 3 1
direct
0.000 0.000 0.000
0.000 0.500 0.500
0.500 0.000 0.500
0.500 0.500 0.000
0.500 0.500 0.500
```

Output
The value obtained for the density is 9.266 Mg/m³. As for the offset from the most stable computed form: 0 meV per atom. As for the space-group type: Pm-3m (221). Its total magnetization is 0.000 μB per cell. For the total energy, the calculation gives -7.36 eV/atom. As for the calculated formation energy: 0.64 eV per atom.



Record 6
Crystalline Ac2Pm2In3 at its relaxed geometry, computed with PBE.

The structure in POSCAR format:
```
Ac2Pm2In3
1.0
2.360 -13.038 0.000
2.360 13.038 0.000
0.000 0.000 3.692
Ac Pm In
2 2 3
direct
0.075 0.925 0.000
0.925 0.075 0.000
0.206 0.794 0.000
0.794 0.206 0.000
0.343 0.657 0.500
0.500 0.500 0.500
0.657 0.343 0.500
```

Output
The value obtained for the density is 7.956 Mg/m³. As for the space-group type: Cmmm (65). Its total magnetization is 0.000 μB per cell. For the total energy, the calculation gives -4.00 eV/atom. As for the calculated formation energy: -0.30 eV per atom.



Record 7
Crystalline MnNb2Al at its relaxed geometry, computed with PBE.

The structure in POSCAR format:
```
MnNb2Al
1.0
-3.577 3.577 2.659
3.577 -3.577 2.659
3.577 3.577 -2.659
Mn Nb Al
2 4 2
direct
0.000 0.000 0.000
0.750 0.250 0.500
0.077 0.625 0.952
0.375 0.327 0.452
0.673 0.125 0.048
0.875 0.923 0.548
0.250 0.750 0.500
0.500 0.500 0.000
```

Output
The value obtained for the density is 6.535 Mg/m³. As for the space-group type: I-42d (122). Its total magnetization is 0.000 μB per cell. For the total energy, the calculation gives -7.94 eV/atom. As for the calculated formation energy: 0.32 eV per atom.



Record 8
Crystalline La2PaPd9 at its relaxed geometry, computed with PBE.

The structure in POSCAR format:
```
La2PaPd9
1.0
4.197 0.000 0.000
0.000 4.197 0.000
0.000 0.000 12.638
La Pa Pd
2 1 9
direct
0.000 0.000 0.165
0.000 0.000 0.835
0.000 0.000 0.500
0.000 0.500 0.000
0.000 0.500 0.344
0.000 0.500 0.656
0.500 0.000 0.000
0.500 0.000 0.344
0.500 0.000 0.656
0.500 0.500 0.172
0.500 0.500 0.500
0.500 0.500 0.828
```

Output
The value obtained for the density is 10.942 Mg/m³. As for the space-group type: P4/mmm (123). Its total magnetization is 0.006 μB per cell. For the total energy, the calculation gives -6.33 eV/atom. As for the calculated formation energy: -0.83 eV per atom.